## Ho7TmCo2 (PBE-GGA)

Data for crystalline Ho7TmCo2 at its relaxed geometry.

Structure (POSCAR):
```
Ho7TmCo2
1.0
4.338 -6.793 0.000
4.338 6.793 0.000
0.000 0.000 5.060
Ho Tm Co
7 1 2
Direct
0.000 0.000 0.000
0.172 0.442 0.000
0.203 0.797 0.500
0.442 0.172 0.000
0.558 0.828 0.000
0.797 0.203 0.500
0.828 0.558 0.000
0.500 0.500 0.500
0.205 0.795 0.000
0.795 0.205 0.000
```

Volume: 298.2 Å³/f.u.
Crystal system: orthorhombic
Symmetry: No. 65
Theoretical density: 8.03 g/cm³

---

## Ho2Tm5Co4 (PBE-GGA)

Data for crystalline Ho2Tm5Co4 at its relaxed geometry.

Structure (POSCAR):
```
Ho2Tm5Co4
1.0
6.342 -3.227 0.000
6.342 3.227 0.000
-4.736 0.000 6.216
Ho Tm Co
2 5 4
Direct
0.037 0.037 0.321
0.963 0.963 0.679
0.055 0.543 0.828
0.457 0.945 0.172
0.500 0.500 0.500
0.543 0.055 0.828
0.945 0.457 0.172
0.297 0.297 0.519
0.499 0.499 0.856
0.501 0.501 0.144
0.703 0.703 0.481
```

Volume: 254.4 Å³/f.u.
Crystal system: monoclinic
Symmetry: No. 12
Theoretical density: 9.20 g/cm³

---

no.,DOS(E_F) (states/eV per cell),spin magnetization (μB/f.u.),formation energy from the elements (meV per atom)
1,12.375,0.00,90
2,12.445,1.62,-31